## YHo2Er2Lu2Ni2Te2 (PBE)

Data for an optimized crystal structure of YHo2Er2Lu2Ni2Te2.

Calculated volume in Å³/cell: 281
Crystal system: orthorhombic
Calculated total energy in eV for the cell shown: -58.84

Lattice parameters (Å, degrees): 9.2707 9.2707 9.2707 156.16 66.98 118.45
With the nearest neighbours (Å) after each atom.
Element x y z (fractional)
Te1 0.7401 0.2401 0.5000  2 Y 3.15, 4 Ho 3.17, 2 Lu 3.17
Te2 0.1417 0.1417 0.0000  2 Ho 3.12, 4 Er 3.15, 1 Y 3.18
Ni1 0.1688 0.4059 0.7629  2 Lu 2.75, 2 Ho 2.78, 2 Er 2.80
Ni2 0.6430 0.4059 0.2371  2 Lu 2.75, 2 Ho 2.78, 2 Er 2.80
Lu1 0.4115 0.0969 0.3146  2 Ni 2.75
Lu2 0.7822 0.0969 0.6854  2 Ni 2.75
Er1 0.0984 0.7465 0.3519  2 Ni 2.80
Er2 0.3945 0.7465 0.6481  2 Ni 2.80
Ho1 0.0275 0.8945 0.1330  2 Ni 2.78
Ho2 0.7615 0.8945 0.8670  2 Ni 2.78
Y1 0.4768 0.4768 0.0000  3 Te 3.15-3.18

## TmTaAg (PBE)

Data for an optimized crystal structure of TmTaAg.

Calculated volume in Å³/cell: 75
Crystal system: cubic
Energy of formation in kJ/mol of formula units: 389
Calculated total energy in eV for the cell shown: -15.12

Lattice parameters (Å, degrees): 4.7396 4.7396 4.7396 60.00 60.00 60.00
With the nearest neighbours (Å) after each atom.
Element x y z (fractional)
Ag1 0.2500 0.2500 0.2500  4 Tm 2.90
Ta1 0.7500 0.7500 0.7500  4 Tm 2.90
Tm1 0.0000 0.0000 0.0000  4 Ta 2.90, 4 Ag 2.90

## Ba2NdOsSe6 (PBE)

Data for an optimized crystal structure of Ba2NdOsSe6.

Calculated volume in Å³/cell: 290
Crystal system: tetragonal
Calculated total energy in eV for the cell shown: -51.96

Lattice parameters (Å, degrees): 7.5272 7.5272 7.5272 122.31 122.31 86.04
With the nearest neighbours (Å) after each atom.
Element x y z (fractional)
Ba1 0.7500 0.2500 0.5000  8 Se 3.30-3.64
Ba2 0.2500 0.7500 0.5000  8 Se 3.30-3.64
Se1 0.7332 0.7332 0.0000  1 Os 2.57
Se2 0.6595 0.1952 0.8547  1 Os 2.50
Se3 0.2668 0.2668 0.0000  1 Os 2.57
Se4 0.1952 0.3405 0.5357  1 Os 2.50
Se5 0.8048 0.6595 0.4643  1 Os 2.50
Se6 0.3405 0.8048 0.1453  1 Os 2.50
Os1 0.5000 0.5000 0.0000  6 Se 2.50-2.57
Nd1 0.0000 0.0000 0.0000  6 Se 2.85-2.94

## Pm2AsP (PBE)

Data for an optimized crystal structure of Pm2AsP.

Calculated volume in Å³/cell: 104
Crystal system: tetragonal
Calculated total energy in eV for the cell shown: -25.70

Lattice parameters (Å, degrees): 4.1857 4.1857 5.9196 90.00 90.00 90.00
With the nearest neighbours (Å) after each atom.
Element x y z (fractional)
Pm1 0.5000 0.5000 0.0000  4 As 2.96, 2 P 2.96
Pm2 0.0000 0.0000 0.5000  4 P 2.96, 2 As 2.96
P1 0.5000 0.5000 0.5000  6 Pm 2.96
As1 0.0000 0.0000 0.0000  6 Pm 2.96

## TaFeSi (PBE)

Data for an optimized crystal structure of TaFeSi.

Calculated volume in Å³/cell: 160
Crystal system: orthorhombic
Calculated total energy in eV for the cell shown: -109.78

Lattice parameters (Å, degrees): 6.1687 3.7295 6.9712 90.00 90.00 90.00
With the nearest neighbours (Å) after each atom.
Element x y z (fractional)
Si1 0.2792 0.7500 0.3861  4 Fe 2.29-2.37
Si2 0.7792 0.7500 0.1139  4 Fe 2.29-2.37
Si3 0.2208 0.2500 0.8861  4 Fe 2.29-2.37
Si4 0.7208 0.2500 0.6139  4 Fe 2.29-2.37
Ta1 0.4856 0.2500 0.1874  5 Si 2.65-2.66, 6 Fe 2.73-2.92
Ta2 0.5144 0.7500 0.8126  5 Si 2.65-2.66, 6 Fe 2.73-2.92
Ta3 0.0144 0.7500 0.6874  5 Si 2.65-2.66, 6 Fe 2.73-2.92
Ta4 0.9856 0.2500 0.3126  5 Si 2.65-2.66, 6 Fe 2.73-2.92
Fe1 0.1492 0.7500 0.0658  4 Si 2.29-2.37
Fe2 0.6492 0.7500 0.4342  4 Si 2.29-2.37
Fe3 0.3508 0.2500 0.5658  4 Si 2.29-2.37
Fe4 0.8508 0.2500 0.9342  4 Si 2.29-2.37

## LaSmNi2B2Pt6 (PBE)

Data for an optimized crystal structure of LaSmNi2B2Pt6.

Calculated volume in Å³/cell: 191
Crystal system: hexagonal
Energy above the most stable polymorph in this dataset in eV per formula unit: 0.00
Calculated total energy in eV for the cell shown: -79.25

Lattice parameters (Å, degrees): 5.4623 5.4623 7.3796 90.00 90.00 120.00
With the nearest neighbours (Å) after each atom.
Element x y z (fractional)
Pt1 0.5000 0.0000 0.7103  2 B 2.21
Pt2 0.0000 0.5000 0.7103  2 B 2.21
Pt3 0.5000 0.5000 0.7103  2 B 2.21
Pt4 0.5000 0.0000 0.2897  2 B 2.21
Pt5 0.5000 0.5000 0.2897  2 B 2.21
Pt6 0.0000 0.5000 0.2897  2 B 2.21
B1 0.3333 0.6667 0.5000  6 Pt 2.21
B2 0.6667 0.3333 0.5000  6 Pt 2.21
Ni1 0.6667 0.3333 0.0000  6 Pt 2.66
Ni2 0.3333 0.6667 0.0000  6 Pt 2.66
Sm1 0.0000 0.0000 0.5000  12 Pt 3.14, 6 B 3.15
La1 0.0000 0.0000 0.0000  6 Ni 3.15, 12 Pt 3.47

## HgPbSeO (PBE)

Data for an optimized crystal structure of HgPbSeO.

Calculated volume in Å³/cell: 175
Crystal system: orthorhombic
Energy above the most stable polymorph in this dataset in eV per formula unit: 1.24
Calculated total energy in eV for the cell shown: -26.62

Lattice parameters (Å, degrees): 3.9760 6.2821 7.2683 90.00 74.13 90.00
With the nearest neighbours (Å) after each atom.
Element x y z (fractional)
Se1 0.2130 0.2500 0.5739  2 Hg 2.72, 2 Pb 2.99
Se2 0.7870 0.7500 0.4261  2 Hg 2.72, 2 Pb 2.99
Hg1 0.4199 0.7500 0.1601  2 Se 2.72, 4 O 2.77
Hg2 0.5801 0.2500 0.8399  2 Se 2.72, 4 O 2.77
O1 0.0000 0.0000 0.0000  2 Pb 2.37
O2 0.0000 0.5000 0.0000  2 Pb 2.37
Pb1 0.8731 0.2500 0.2539  2 O 2.37
Pb2 0.1269 0.7500 0.7461  2 O 2.37

## NdTcPO (PBE)

Data for an optimized crystal structure of NdTcPO.

Calculated volume in Å³/cell: 137
Crystal system: tetragonal
Energy above the most stable polymorph in this dataset in eV per formula unit: 0.00
Calculated total energy in eV for the cell shown: -65.89

Lattice parameters (Å, degrees): 4.0490 4.0490 8.3450 90.00 90.00 90.00
With the nearest neighbours (Å) after each atom.
Element x y z (fractional)
Tc1 0.5000 0.0000 0.5000  4 P 2.36
Tc2 0.0000 0.5000 0.5000  4 P 2.36
P1 0.5000 0.5000 0.3536  4 Tc 2.36
P2 0.0000 0.0000 0.6464  4 Tc 2.36
O1 0.0000 0.5000 0.0000  4 Nd 2.34
O2 0.5000 0.0000 0.0000  4 Nd 2.34
Nd1 0.0000 0.0000 0.1405  4 O 2.34
Nd2 0.5000 0.5000 0.8595  4 O 2.34

## Dy3Mg3Tl2Pt (PBE)

Data for an optimized crystal structure of Dy3Mg3Tl2Pt.

Calculated volume in Å³/cell: 218
Crystal system: hexagonal
Calculated total energy in eV for the cell shown: -34.00

Lattice parameters (Å, degrees): 7.4778 7.4778 4.4932 90.00 90.00 120.00
With the nearest neighbours (Å) after each atom.
Element x y z (fractional)
Dy1 0.0000 0.3976 0.0000  1 Pt 2.97, 4 Tl 3.21
Dy2 0.3976 0.0000 0.0000  1 Pt 2.97, 4 Tl 3.21
Dy3 0.6024 0.6024 0.0000  1 Pt 2.97, 4 Tl 3.21
Mg1 0.2318 0.2318 0.5000  2 Pt 2.84, 2 Tl 2.95, 2 Mg 3.00
Mg2 0.7682 0.0000 0.5000  2 Pt 2.84, 2 Tl 2.95, 2 Mg 3.00
Mg3 0.0000 0.7682 0.5000  2 Pt 2.84, 2 Tl 2.95, 2 Mg 3.00
Tl1 0.3333 0.6667 0.5000  3 Mg 2.95, 6 Dy 3.21
Tl2 0.6667 0.3333 0.5000  3 Mg 2.95, 6 Dy 3.21
Pt1 0.0000 0.0000 0.0000  6 Mg 2.84, 3 Dy 2.97

## Cs3Gd2Cl9 (PBE)

Data for an optimized crystal structure of Cs3Gd2Cl9.

Calculated volume in Å³/cell: 474
Crystal system: trigonal
Calculated total energy in eV for the cell shown: -59.30

Lattice parameters (Å, degrees): 7.6010 7.6010 9.4687 90.00 90.00 120.00
With the nearest neighbours (Å) after each atom.
Element x y z (fractional)
Cl1 0.5024 0.0000 0.0000  2 Gd 2.77
Cl2 0.8300 0.6644 0.6771  1 Gd 2.57
Cl3 0.4976 0.4976 0.0000  2 Gd 2.77
Cl4 0.1700 0.8344 0.3229  1 Gd 2.57
Cl5 0.3356 0.1656 0.6771  1 Gd 2.57
Cl6 0.6644 0.8300 0.3229  1 Gd 2.57
Cl7 0.1656 0.3356 0.3229  1 Gd 2.57
Cl8 0.0000 0.5024 0.0000  2 Gd 2.77
Cl9 0.8344 0.1700 0.6771  1 Gd 2.57
Cs1 0.6667 0.3333 0.3578  12 Cl 3.73-4.04
Cs2 0.3333 0.6667 0.6422  12 Cl 3.73-4.04
Cs3 0.0000 0.0000 0.0000  12 Cl 3.77-3.82
Gd1 0.3333 0.6667 0.1790  6 Cl 2.57-2.77
Gd2 0.6667 0.3333 0.8210  6 Cl 2.57-2.77

## HfCoRe2 (PBE)

Data for an optimized crystal structure of HfCoRe2.

Calculated volume in Å³/cell: 61
Crystal system: cubic
Energy of formation in kJ/mol of formula units: -22
Calculated total energy in eV for the cell shown: -42.14

Lattice parameters (Å, degrees): 4.4165 4.4165 4.4165 60.00 60.00 60.00
With the nearest neighbours (Å) after each atom.
Element x y z (fractional)
Re1 0.0000 0.0000 0.0000  4 Re 2.70, 4 Co 2.70
Re2 0.2500 0.2500 0.2500  4 Hf 2.70, 4 Re 2.70
Co1 0.7500 0.7500 0.7500  4 Hf 2.70, 4 Re 2.70
Hf1 0.5000 0.5000 0.5000  4 Re 2.70, 4 Co 2.70

## BaMoIrAu (PBE)

Data for an optimized crystal structure of BaMoIrAu.

Calculated volume in Å³/cell: 89
Crystal system: cubic
Energy above the most stable polymorph in this dataset in eV per formula unit: 0.00
Calculated total energy in eV for the cell shown: -21.86

Lattice parameters (Å, degrees): 5.0093 5.0093 5.0093 60.00 60.00 60.00
With the nearest neighbours (Å) after each atom.
Element x y z (fractional)
Au1 0.7500 0.7500 0.7500  4 Mo 3.07, 4 Ba 3.07
Mo1 0.0000 0.0000 0.0000  4 Au 3.07, 4 Ir 3.07
Ba1 0.5000 0.5000 0.5000  4 Ir 3.07, 4 Au 3.07
Ir1 0.2500 0.2500 0.2500  4 Ba 3.07, 4 Mo 3.07

- Number 10 is which compound?
  Cs3Gd2Cl9